Entry 1:
# PBE-GGA K3GaF, optimized geometry
# E above lowest polymorph: 0.000 eV/atom
# raw formation energy: -953 meV per atom
data_K3GaF
_cell_length_a 5.4531
_cell_length_b 5.4531
_cell_length_c 5.4531
_cell_angle_alpha 90.00
_cell_angle_beta 90.00
_cell_angle_gamma 90.00
_symmetry_space_group_name_H-M 'P m -3 m'
_symmetry_Int_Tables_number 221
_symmetry_space_group_name_Hall '-P 4 2 3'
loop_
_atom_site_label
_atom_site_type_symbol
_atom_site_fract_x
_atom_site_fract_y
_atom_site_fract_z
K1 K 0.0000 0.0000 0.5000
Ga1 Ga 0.5000 0.5000 0.5000
F1 F 0.0000 0.0000 0.0000

***

Entry 2:
# PBE-GGA NiTeP2Pt, optimized geometry
# E above lowest polymorph: 0.197 eV/atom
# raw formation energy: -103 meV per atom
data_NiTeP2Pt
_cell_length_a 4.1082
_cell_length_b 4.4169
_cell_length_c 5.4848
_cell_angle_alpha 107.64
_cell_angle_beta 102.64
_cell_angle_gamma 98.29
_symmetry_space_group_name_H-M 'P 1'
_symmetry_Int_Tables_number 1
loop_
_symmetry_equiv_pos_as_xyz
'x,y,z'
loop_
_atom_site_label
_atom_site_type_symbol
_atom_site_fract_x
_atom_site_fract_y
_atom_site_fract_z
Ni1 Ni 0.0000 0.0000 0.0000
Te1 Te 0.8484 0.3460 0.3904
P1 P 0.3535 0.8618 0.3004
P2 P 0.4680 0.0013 0.7795
Pt1 Pt 0.2940 0.5026 0.8619

***

Entry 3:
# PBE-GGA InAsBr2, optimized geometry
# E above lowest polymorph: 0.244 eV/atom
# raw formation energy: -79 meV per atom
data_InAsBr2
_cell_length_a 3.6657
_cell_length_b 3.6657
_cell_length_c 29.9659
_cell_angle_alpha 90.00
_cell_angle_beta 90.00
_cell_angle_gamma 120.00
_symmetry_space_group_name_H-M 'R -3 m'
_symmetry_Int_Tables_number 166
_symmetry_space_group_name_Hall '-R 3 2"'
loop_
_atom_site_label
_atom_site_type_symbol
_atom_site_fract_x
_atom_site_fract_y
_atom_site_fract_z
In1 In 0.0000 0.0000 0.0000
As1 As 0.0000 0.0000 0.5000
Br1 Br 0.0000 0.0000 0.4137

***

Entry 4:
Entry from Alexandria: a relaxed NpAl2Au crystal (PBE-GGA).

Cell and atoms, written as CIF:
```
data_NpAl2Au
_cell_length_a 4.2897
_cell_length_b 4.2897
_cell_length_c 15.6956
_cell_angle_alpha 90.00
_cell_angle_beta 90.00
_cell_angle_gamma 120.00
_symmetry_space_group_name_H-M 'R -3 m'
_symmetry_Int_Tables_number 166
_symmetry_space_group_name_Hall '-R 3 2"'
loop_
_atom_site_label
_atom_site_type_symbol
_atom_site_fract_x
_atom_site_fract_y
_atom_site_fract_z
Np1 Np 0.0000 0.0000 0.0000
Al1 Al 0.0000 0.0000 0.2153
Au1 Au 0.0000 0.0000 0.5000
```

***

Entry 5:
# PBE-GGA IrSe3, optimized geometry
# E above lowest polymorph: 0.469 eV/atom
# raw formation energy: 291 meV per atom
data_IrSe3
_cell_length_a 5.3106
_cell_length_b 5.3106
_cell_length_c 5.3106
_cell_angle_alpha 90.00
_cell_angle_beta 90.00
_cell_angle_gamma 90.00
_symmetry_space_group_name_H-M 'I m -3 m'
_symmetry_Int_Tables_number 229
_symmetry_space_group_name_Hall '-I 4 2 3'
loop_
_atom_site_label
_atom_site_type_symbol
_atom_site_fract_x
_atom_site_fract_y
_atom_site_fract_z
Ir1 Ir 0.0000 0.0000 0.0000
Se1 Se 0.0000 0.0000 0.5000

***

Entry 6:
Entry from Alexandria: a relaxed AsPt2Au crystal (PBE-GGA).

Cell and atoms, written as CIF:
```
data_AsPt2Au
_cell_length_a 4.8305
_cell_length_b 4.8305
_cell_length_c 2.8929
_cell_angle_alpha 90.00
_cell_angle_beta 90.00
_cell_angle_gamma 90.00
_symmetry_space_group_name_H-M 'P 4/m m m'
_symmetry_Int_Tables_number 123
_symmetry_space_group_name_Hall '-P 4 2'
loop_
_atom_site_label
_atom_site_type_symbol
_atom_site_fract_x
_atom_site_fract_y
_atom_site_fract_z
As1 As 0.0000 0.0000 0.0000
Pt1 Pt 0.0000 0.5000 0.5000
Au1 Au 0.5000 0.5000 0.0000
```

***

Entry 7:
Entry from Alexandria: a relaxed LiCdPt2 crystal (PBE-GGA).

Cell and atoms, written as CIF:
```
data_LiCdPt2
_cell_length_a 3.8819
_cell_length_b 3.8819
_cell_length_c 18.5506
_cell_angle_alpha 90.00
_cell_angle_beta 90.00
_cell_angle_gamma 90.00
_symmetry_space_group_name_H-M 'I -4 2 d'
_symmetry_Int_Tables_number 122
_symmetry_space_group_name_Hall 'I -4 2bw'
loop_
_atom_site_label
_atom_site_type_symbol
_atom_site_fract_x
_atom_site_fract_y
_atom_site_fract_z
Li1 Li 0.0000 0.0000 0.0000
Cd1 Cd 0.0000 0.0000 0.5000
Pt1 Pt 0.2365 0.2500 0.1250
```

***

Entry 8:
Entry from Alexandria: a relaxed PrSm14Pu crystal (PBE-GGA).

Cell and atoms, written as CIF:
```
data_PrSm14Pu
_cell_length_a 7.2549
_cell_length_b 7.2549
_cell_length_c 10.2037
_cell_angle_alpha 90.00
_cell_angle_beta 90.00
_cell_angle_gamma 90.00
_symmetry_space_group_name_H-M 'P 4/m m m'
_symmetry_Int_Tables_number 123
_symmetry_space_group_name_Hall '-P 4 2'
loop_
_atom_site_label
_atom_site_type_symbol
_atom_site_fract_x
_atom_site_fract_y
_atom_site_fract_z
Pr1 Pr 0.0000 0.0000 0.0000
Sm1 Sm 0.0000 0.0000 0.5000
Sm2 Sm 0.0000 0.5000 0.0000
Sm3 Sm 0.0000 0.5000 0.5000
Sm4 Sm 0.2525 0.2525 0.2481
Sm5 Sm 0.5000 0.5000 0.5000
Pu1 Pu 0.5000 0.5000 0.0000
```

***

Entry 9:
Entry from Alexandria: a relaxed Tb9Al2In crystal (PBE-GGA).

Cell and atoms, written as CIF:
```
data_Tb9Al2In
_cell_length_a 4.8077
_cell_length_b 4.8077
_cell_length_c 14.4180
_cell_angle_alpha 90.00
_cell_angle_beta 90.00
_cell_angle_gamma 90.00
_symmetry_space_group_name_H-M 'P 4/m m m'
_symmetry_Int_Tables_number 123
_symmetry_space_group_name_Hall '-P 4 2'
loop_
_atom_site_label
_atom_site_type_symbol
_atom_site_fract_x
_atom_site_fract_y
_atom_site_fract_z
Tb1 Tb 0.0000 0.0000 0.0000
Tb2 Tb 0.0000 0.0000 0.3358
Tb3 Tb 0.0000 0.5000 0.1720
Tb4 Tb 0.0000 0.5000 0.5000
Al1 Al 0.5000 0.5000 0.3346
In1 In 0.5000 0.5000 0.0000
```

***

Entry 10:
Entry from Alexandria: a relaxed ErThMn17 crystal (PBE-GGA).

Cell and atoms, written as CIF:
```
data_ErThMn17
_cell_length_a 8.6655
_cell_length_b 8.6655
_cell_length_c 11.6942
_cell_angle_alpha 90.00
_cell_angle_beta 90.00
_cell_angle_gamma 120.00
_symmetry_space_group_name_H-M 'R 3 m'
_symmetry_Int_Tables_number 160
_symmetry_space_group_name_Hall 'R 3 -2"'
loop_
_atom_site_label
_atom_site_type_symbol
_atom_site_fract_x
_atom_site_fract_y
_atom_site_fract_z
Er1 Er 0.0000 0.0000 0.0000
Th1 Th 0.0000 0.0000 0.7065
Mn1 Mn 0.0000 0.0000 0.2526
Mn2 Mn 0.0000 0.0000 0.4512
Mn3 Mn 0.0023 0.5012 0.8499
Mn4 Mn 0.0127 0.5063 0.2145
Mn5 Mn 0.0605 0.3932 0.0178
Mn6 Mn 0.1734 0.3467 0.8244
```

***

Entry 11:
# PBE-GGA BaW2Cl, optimized geometry
# E above lowest polymorph: 0.531 eV/atom
# raw formation energy: 703 meV per atom
data_BaW2Cl
_cell_length_a 3.1665
_cell_length_b 4.5714
_cell_length_c 13.9114
_cell_angle_alpha 90.00
_cell_angle_beta 90.00
_cell_angle_gamma 90.00
_symmetry_space_group_name_H-M 'I m m m'
_symmetry_Int_Tables_number 71
_symmetry_space_group_name_Hall '-I 2 2'
loop_
_atom_site_label
_atom_site_type_symbol
_atom_site_fract_x
_atom_site_fract_y
_atom_site_fract_z
Ba1 Ba 0.0000 0.0000 0.0000
W1 W 0.0000 0.5000 0.2432
Cl1 Cl 0.0000 0.0000 0.5000

***

Entry 12:
Entry from Alexandria: a relaxed LaPmSm2Tl4 crystal (PBE-GGA).

Cell and atoms, written as CIF:
```
data_LaPmSm2Tl4
_cell_length_a 5.5147
_cell_length_b 5.5147
_cell_length_c 27.0456
_cell_angle_alpha 90.00
_cell_angle_beta 90.00
_cell_angle_gamma 120.00
_symmetry_space_group_name_H-M 'R -3 m'
_symmetry_Int_Tables_number 166
_symmetry_space_group_name_Hall '-R 3 2"'
loop_
_atom_site_label
_atom_site_type_symbol
_atom_site_fract_x
_atom_site_fract_y
_atom_site_fract_z
La1 La 0.0000 0.0000 0.0000
Pm1 Pm 0.0000 0.0000 0.5000
Sm1 Sm 0.0000 0.0000 0.2498
Tl1 Tl 0.0000 0.0000 0.1261
Tl2 Tl 0.0000 0.0000 0.3761
```

***

Number 1: total magnetic moment 0.000 μB per formula unit, electronic total energy -0.095 Ha/atom. Number 2: total magnetic moment 0.000 μB per formula unit, electronic total energy -0.193 Ha/atom. Number 3: total magnetic moment 0.000 μB per formula unit, electronic total energy -0.102 Ha/atom. Number 4: total magnetic moment 4.292 μB per formula unit, electronic total energy -0.222 Ha/atom. Number 5: total magnetic moment 0.000 μB per formula unit, electronic total energy -0.167 Ha/atom. Number 6: total magnetic moment 0.000 μB per formula unit, electronic total energy -0.181 Ha/atom. Number 7: total magnetic moment 0.000 μB per formula unit, electronic total energy -0.143 Ha/atom. Number 8: total magnetic moment 6.432 μB per formula unit, electronic total energy -0.194 Ha/atom. Number 9: total magnetic moment 0.002 μB per formula unit, electronic total energy -0.167 Ha/atom. Number 10: total magnetic moment 5.080 μB per formula unit, electronic total energy -0.325 Ha/atom. Number 11: total magnetic moment 0.000 μB per formula unit, electronic total energy -0.247 Ha/atom. Number 12: total magnetic moment 0.000 μB per formula unit, electronic total energy -0.146 Ha/atom.